Record 1
The following is a DFT calculation (PBE) of a relaxed structure of LaEr3B4O12.

Summary:
size of the total moment: 0.00 μB per cell
energy relative to the elements, uncorrected: -3.113 eV per atom

Structure (POSCAR):
```
LaEr3B4O12
1.0
6.515 0.083 0.115
-1.489 6.343 0.115
-1.489 -1.904 6.052
La Er B O
1 3 4 12
Cartesian
0.000 0.000 0.000
2.825 2.970 0.115
2.201 -0.988 3.315
-1.489 2.541 2.853
5.451 -0.619 3.141
-1.914 1.347 5.872
1.768 6.055 0.410
1.768 2.261 3.141
1.768 1.137 3.950
5.000 3.063 0.744
-1.463 4.789 3.141
1.768 -1.069 5.538
0.689 5.851 1.259
-0.810 0.509 5.948
5.513 0.534 2.371
2.848 5.186 0.335
-1.976 2.444 5.024
4.347 -0.957 3.912
2.859 2.532 2.332
0.678 3.114 3.141
```

Record 2
The following is a DFT calculation (PBE) of a relaxed structure of V2InOsRu.

Summary:
size of the total moment: 1.18 μB per cell
DFT formation energy: 2.49 eV/atom

Structure (POSCAR):
```
V2InOsRu
1.0
4.656 0.000 0.000
0.000 4.736 0.000
0.000 0.000 4.656
Ru V Os In
1 2 1 1
Cartesian
2.328 2.368 2.328
0.000 0.000 2.328
2.328 0.000 0.000
0.000 2.368 0.000
0.000 0.000 0.000
```

Record 3
The following is a DFT calculation (PBE) of a relaxed structure of TcAg3Se.

Summary:
size of the total moment: 4.00 μB per cell
energy relative to the elements, uncorrected: 1.156 eV per atom

Structure (POSCAR):
```
TcAg3Se
1.0
4.988 0.000 0.000
0.000 4.988 0.000
0.000 0.000 4.988
Se Tc Ag
1 1 3
Cartesian
0.000 0.000 0.000
2.494 2.494 2.494
0.000 2.494 0.000
0.000 0.000 2.494
2.494 0.000 0.000
```

Record 4
The following is a DFT calculation (PBE) of a relaxed structure of Pr2Nd5TmSc.

Summary:
size of the total moment: 0.00 μB per cell
DFT formation energy: 0.27 eV/atom

Structure (POSCAR):
```
Pr2Nd5TmSc
1.0
-6.199 2.920 -4.921
2.948 -4.589 -6.436
-3.398 -5.771 8.087
Pr Nd Tm Sc
4 10 2 2
Cartesian
0.321 -1.348 -3.027
-3.509 1.249 -3.892
0.258 -2.919 -7.466
-3.572 -0.321 -8.330
-5.486 -0.950 -4.925
-5.927 -2.834 1.745
-1.163 -6.490 1.655
-3.001 -4.024 4.584
-4.089 -5.300 -1.184
-3.648 -3.416 -7.854
-2.560 -2.141 -2.086
-0.721 -4.607 -5.015
-1.625 -0.835 -5.679
0.000 0.000 0.000
-2.512 -3.303 1.204
-4.137 -4.138 -4.475
-1.037 -5.597 -2.014
-5.611 -1.843 -1.256
```

Record 5
The following is a DFT calculation (PBE) of a relaxed structure of Ba2TeRhN.

Summary:
size of the total moment: 0.00 μB per cell
energy relative to the elements, uncorrected: -0.875 eV per atom

Structure (POSCAR):
```
Ba2TeRhN
1.0
-3.783 -4.568 -0.715
4.300 -3.815 1.624
-1.101 0.333 3.699
Te Rh Ba N
1 1 2 1
Cartesian
-0.292 -4.025 2.304
-0.551 0.167 1.850
2.150 -1.908 0.812
-1.891 -2.284 -0.357
0.000 0.000 0.000
```

Record 6
The following is a DFT calculation (PBE) of a relaxed structure of AsPt2AuF.

Summary:
size of the total moment: 0.00 μB per cell
energy relative to the elements, uncorrected: 0.673 eV per atom

Structure (POSCAR):
```
AsPt2AuF
1.0
-0.668 3.043 -3.038
-3.887 -2.272 -1.420
-2.377 2.301 2.827
As Au Pt F
1 1 2 1
Cartesian
-3.466 1.536 -0.816
-1.944 -1.136 -0.710
-1.189 1.150 1.414
-0.334 1.522 -1.519
0.000 0.000 0.000
```